1.
{"formula": "LuMgBPd", "functional": "PBE", "state": "optimized geometry", "cell": [[0.000, 3.197, 3.197], [3.197, 0.000, 3.197], [3.197, 3.197, 0.000]], "species": ["Pd", "B", "Lu", "Mg"], "fractional_positions": [[0.000, 0.000, 0.000], [0.500, 0.500, 0.500], [0.250, 0.250, 0.250], [0.750, 0.750, 0.750]], "mass_density_g_cm3": 8.05, "dft_energy_ev_per_atom": -4.621, "e_above_lowest_polymorph_mev_per_atom": 0.0, "magmom_total_mub_per_cell": 0.00}

2.
{"formula": "LuMgBPd", "functional": "PBE", "state": "optimized geometry", "cell": [[0.000, 3.141, 3.141], [3.141, 0.000, 3.141], [3.141, 3.141, 0.000]], "species": ["B", "Lu", "Mg", "Pd"], "fractional_positions": [[0.000, 0.000, 0.000], [0.500, 0.500, 0.500], [0.750, 0.750, 0.750], [0.250, 0.250, 0.250]], "mass_density_g_cm3": 8.48, "dft_energy_ev_per_atom": -4.313, "e_above_lowest_polymorph_mev_per_atom": 308.0, "magmom_total_mub_per_cell": 0.00}

3.
{"formula": "LuMgBPd", "functional": "PBE", "state": "optimized geometry", "cell": [[-0.479, 0.452, 4.373], [-4.030, -0.172, 1.812], [-1.168, -3.479, 2.468]], "species": ["B", "Pd", "Mg", "Lu"], "fractional_positions": [[0.250, 0.250, 0.250], [0.000, 0.000, 0.000], [0.750, 0.750, 0.750], [0.500, 0.500, 0.500]], "mass_density_g_cm3": 8.59, "dft_energy_ev_per_atom": -4.451, "e_above_lowest_polymorph_mev_per_atom": 170.1, "magmom_total_mub_per_cell": 0.00}

> What is the formula in the third record?

LuMgBPd